LaSm3DyY | PBE | relaxed

Summary:
Uncorrected energy   -30.0 eV per formula unit
Formation enthalpy at 0 K   0.024 eV per atom

```
data_LaSm3DyY
_chemical_formula_sum 'La2 Sm6 Dy2 Y2'
_cell_length_a 8.095
_cell_length_b 5.146
_cell_length_c 10.257
_cell_angle_alpha 90.00
_cell_angle_beta 108.52
_cell_angle_gamma 90.00
_symmetry_space_group_name_H-M 'P 1 21/m 1'
_symmetry_Int_Tables_number 11
loop_
_symmetry_equiv_pos_as_xyz
'x,y,z'
'-x,-y,-z'
'-x,y+1/2,-z'
'x,-y+1/2,z'
loop_
_atom_site_label
_atom_site_type_symbol
_atom_site_fract_x
_atom_site_fract_y
_atom_site_fract_z
La1 La 0.168 0.250 0.292
Sm1 Sm 0.168 0.250 0.792
Sm2 Sm 0.169 0.750 0.041
Sm3 Sm 0.170 0.750 0.543
Dy1 Dy 0.500 0.250 0.626
Y1 Y 0.498 0.750 0.875
```